1.
Here is an optimized crystal structure of Tc3HIr from Alexandria. Energies are from GGA-PBE.

Geometry as extended XYZ:
```
5
Lattice="4.752 0.000 0.000 0.000 4.752 0.000 0.000 0.000 4.752" Properties=species:S:1:pos:R:3 pbc="T T T"
Tc 0.000 0.000 2.376
Tc 0.000 2.376 0.000
Tc 2.376 0.000 0.000
H 2.376 2.376 2.376
Ir 0.000 0.000 0.000
```

Results
For the electronic total energy, the calculation gives -31.52 eV per formula unit. The value obtained for the density of states at the Fermi level is 1.312 states/eV/atom. As for the space group: Pm-3m.

=====

2.
Here is an optimized crystal structure of TcHIr from Alexandria. Energies are from GGA-PBE.

Geometry as extended XYZ:
```
6
Lattice="4.598 0.000 0.000 0.000 2.809 0.000 -0.150 0.000 4.970" Properties=species:S:1:pos:R:3 pbc="T T T"
Tc 0.962 0.702 2.001
Tc 3.486 2.107 2.969
H 1.634 2.107 3.008
H 2.814 0.702 1.962
Ir 0.984 2.107 4.678
Ir 3.464 0.702 0.292
```

Results
For the electronic total energy, the calculation gives -22.38 eV per formula unit. The value obtained for the density of states at the Fermi level is 0.639 states/eV/atom. As for the space group: P2_1/m.

=====

3.
Here is an optimized crystal structure of Tc8H4Ir from Alexandria. Energies are from GGA-PBE.

Geometry as extended XYZ:
```
13
Lattice="6.738 -1.407 0.000 6.738 1.407 0.000 -5.866 0.000 7.284" Properties=species:S:1:pos:R:3 pbc="T T T"
Tc -0.893 0.000 1.748
Tc 1.512 0.000 3.106
Tc 3.513 0.000 1.284
Tc -0.281 0.000 6.619
Tc 7.892 0.000 0.664
Tc 4.098 0.000 6.000
Tc 6.098 0.000 4.177
Tc 8.503 0.000 5.536
H -3.627 0.000 7.022
H 0.560 0.000 4.841
H 7.050 0.000 2.443
H 11.238 0.000 0.262
Ir -2.933 0.000 3.642
```

Results
For the electronic total energy, the calculation gives -106.18 eV per formula unit. The value obtained for the density of states at the Fermi level is 0.589 states/eV/atom. As for the space group: C2/m.